No. 1
## AlReOs2 (PBE)

Data for crystalline AlReOs2 at its relaxed geometry.

abc: 2.873 2.873 6.881
angles: 90.00 90.00 90.00
Space group P4/mmm (No. 123)
Symmetry-distinct sites (fractional):
Al 0.000 0.000 0.000 (multiplicity 1)
Re 0.000 0.000 0.500 (multiplicity 1)
Os 0.500 0.500 0.240 (multiplicity 2)

- crystal system = tetragonal
- magnetization (Bohr magnetons per cell) = 0.0
- energy of formation from the pure elements (eV per atom) = -0.177

***

No. 2
## AlReOs2 (PBE)

Data for crystalline AlReOs2 at its relaxed geometry.

abc: 4.015 4.015 7.185
angles: 90.00 90.00 90.00
Space group I4/mmm (No. 139)
Symmetry-distinct sites (fractional):
Al 0.000 0.000 0.000 (multiplicity 2)
Re 0.000 0.000 0.500 (multiplicity 2)
Os 0.000 0.500 0.250 (multiplicity 4)

- crystal system = tetragonal
- magnetization (Bohr magnetons per cell) = 0.0
- energy of formation from the pure elements (eV per atom) = 0.035

***

No. 3
## AlReOs2 (PBE)

Data for crystalline AlReOs2 at its relaxed geometry.

abc: 2.917 4.464 8.726
angles: 90.00 90.00 90.00
Space group Immm (No. 71)
Symmetry-distinct sites (fractional):
Al 0.000 0.000 0.000 (multiplicity 2)
Re 0.000 0.000 0.500 (multiplicity 2)
Os 0.000 0.500 0.267 (multiplicity 4)

- crystal system = orthorhombic
- magnetization (Bohr magnetons per cell) = 0.0
- energy of formation from the pure elements (eV per atom) = 0.002

***

No. 4
## AlReOs3 (PBE)

Data for crystalline AlReOs3 at its relaxed geometry.

abc: 4.330 4.330 4.330
angles: 90.00 90.00 90.00
Space group Pm-3m (No. 221)
Symmetry-distinct sites (fractional):
Al 0.000 0.000 0.000 (multiplicity 1)
Re 0.500 0.500 0.500 (multiplicity 1)
Os 0.000 0.000 0.500 (multiplicity 3)

- crystal system = cubic
- magnetization (Bohr magnetons per cell) = 0.0
- energy of formation from the pure elements (eV per atom) = 1.771
- energy above the lowest structure with this stoichiometry (meV per atom) = 0

***

No. 5
## AlReOs2 (PBE)

Data for crystalline AlReOs2 at its relaxed geometry.

abc: 3.776 3.776 8.111
angles: 90.00 90.00 90.00
Space group I-4m2 (No. 119)
Symmetry-distinct sites (fractional):
Al 0.000 0.000 0.000 (multiplicity 2)
Re 0.000 0.500 0.250 (multiplicity 2)
Os 0.000 0.000 0.500 (multiplicity 2)
Os 0.000 0.500 0.750 (multiplicity 2)

- crystal system = tetragonal
- magnetization (Bohr magnetons per cell) = 0.0
- energy of formation from the pure elements (eV per atom) = 0.063

***

No. 6
## AlReOs2 (PBE)

Data for crystalline AlReOs2 at its relaxed geometry.

abc: 4.1016 4.1016 13.2184
angles: 90.00 90.00 120.00
Space group R3m (No. 160, hexagonal axes)
Symmetry-distinct sites (fractional):
Al 0.0000 0.0000 0.0000 (multiplicity 3)
Re 0.0000 0.0000 0.1973 (multiplicity 3)
Os 0.0000 0.0000 0.4080 (multiplicity 3)
Os 0.0000 0.0000 0.5996 (multiplicity 3)

- crystal system = trigonal
- magnetization (Bohr magnetons per cell) = 0.0
- energy of formation from the pure elements (eV per atom) = 0.259

***

No. 7
## AlReOs2 (PBE)

Data for crystalline AlReOs2 at its relaxed geometry.

abc: 2.761 4.033 5.291
angles: 90.00 102.45 90.00
Space group P2/m (No. 10)
Symmetry-distinct sites (fractional):
Al 0.000 0.000 0.000 (multiplicity 1)
Re 0.000 0.000 0.500 (multiplicity 1)
Os 0.404 0.500 0.240 (multiplicity 2)

- crystal system = monoclinic
- magnetization (Bohr magnetons per cell) = 0.0
- energy of formation from the pure elements (eV per atom) = 0.016

***

No. 8
## Al2ReOsRh (PBE)

Data for crystalline Al2ReOsRh at its relaxed geometry.

abc: 4.444 4.444 4.687
angles: 90.00 90.00 90.00
Space group P4/mmm (No. 123)
Symmetry-distinct sites (fractional):
Al 0.000 0.500 0.000 (multiplicity 2)
Re 0.000 0.000 0.500 (multiplicity 1)
Os 0.500 0.500 0.500 (multiplicity 1)
Rh 0.500 0.500 0.000 (multiplicity 1)

- crystal system = tetragonal
- magnetization (Bohr magnetons per cell) = 1.8
- energy of formation from the pure elements (eV per atom) = 1.300

***

No. 9
## Al2ReSbOs (PBE)

Data for crystalline Al2ReSbOs at its relaxed geometry.

abc: 4.722 4.722 4.798
angles: 90.00 90.00 90.00
Space group P4/mmm (No. 123)
Symmetry-distinct sites (fractional):
Al 0.000 0.500 0.000 (multiplicity 2)
Re 0.000 0.000 0.500 (multiplicity 1)
Sb 0.500 0.500 0.500 (multiplicity 1)
Os 0.000 0.000 0.000 (multiplicity 1)

- raw formation energy (eV/atom) = 0.74
- crystal system = tetragonal
- magnetization (Bohr magnetons per cell) = 0.5

***

No. 10
## ScAl2ReOs (PBE)

Data for crystalline ScAl2ReOs at its relaxed geometry.

abc: 4.782 4.782 4.476
angles: 90.00 90.00 90.00
Space group P4/mmm (No. 123)
Symmetry-distinct sites (fractional):
Sc 0.000 0.000 0.000 (multiplicity 1)
Al 0.000 0.500 0.000 (multiplicity 2)
Re 0.500 0.500 0.500 (multiplicity 1)
Os 0.000 0.000 0.500 (multiplicity 1)

- crystal system = tetragonal
- magnetization (Bohr magnetons per cell) = 2.8
- energy of formation from the pure elements (eV per atom) = 2.018

***

No. 11
## Al2ReOsSe (PBE)

Data for crystalline Al2ReOsSe at its relaxed geometry.

abc: 4.610 4.610 4.484
angles: 90.00 90.00 90.00
Space group P4/mmm (No. 123)
Symmetry-distinct sites (fractional):
Al 0.000 0.500 0.000 (multiplicity 2)
Re 0.000 0.000 0.500 (multiplicity 1)
Os 0.500 0.500 0.500 (multiplicity 1)
Se 0.500 0.500 0.000 (multiplicity 1)

- raw formation energy (eV/atom) = 1.67
- crystal system = tetragonal
- magnetization (Bohr magnetons per cell) = 1.9

***

No. 12
## TiAlReOs (PBE)

Data for crystalline TiAlReOs at its relaxed geometry.

abc: 6.149 6.149 6.149
angles: 90.00 90.00 90.00
Space group F-43m (No. 216)
Symmetry-distinct sites (fractional):
Ti 0.000 0.000 0.000 (multiplicity 4)
Al 0.000 0.000 0.500 (multiplicity 4)
Re 0.250 0.250 0.750 (multiplicity 4)
Os 0.250 0.250 0.250 (multiplicity 4)

- crystal system = cubic
- magnetization (Bohr magnetons per cell) = 0.0
- energy of formation from the pure elements (eV per atom) = -0.371

***

No. 13
## Ti2AlReOs (PBE)

Data for crystalline Ti2AlReOs at its relaxed geometry.

abc: 4.667 4.667 4.745
angles: 90.00 90.00 90.00
Space group P4/mmm (No. 123)
Symmetry-distinct sites (fractional):
Ti 0.000 0.500 0.000 (multiplicity 2)
Al 0.000 0.000 0.500 (multiplicity 1)
Re 0.500 0.500 0.000 (multiplicity 1)
Os 0.500 0.500 0.500 (multiplicity 1)

- crystal system = tetragonal
- magnetization (Bohr magnetons per cell) = 0.0
- energy of formation from the pure elements (eV per atom) = 0.946

***

No. 14
## Ti5Al2Re2Os (PBE)

Data for crystalline Ti5Al2Re2Os at its relaxed geometry.

abc: 10.410 10.410 3.172
angles: 90.00 90.00 90.00
Space group P4/mbm (No. 127)
Symmetry-distinct sites (fractional):
Ti 0.000 0.500 0.000 (multiplicity 2)
Ti 0.076 0.187 0.000 (multiplicity 8)
Al 0.170 0.670 0.500 (multiplicity 4)
Re 0.136 0.364 0.500 (multiplicity 4)
Os 0.000 0.000 0.500 (multiplicity 2)

- crystal system = tetragonal
- magnetization (Bohr magnetons per cell) = 0.0
- energy of formation from the pure elements (eV per atom) = -0.073

***

No. 15
## UAlReOs (PBE)

Data for crystalline UAlReOs at its relaxed geometry.

abc: 6.500 6.500 6.500
angles: 90.00 90.00 90.00
Space group F-43m (No. 216)
Symmetry-distinct sites (fractional):
U 0.000 0.000 0.000 (multiplicity 4)
Al 0.000 0.000 0.500 (multiplicity 4)
Re 0.250 0.250 0.750 (multiplicity 4)
Os 0.250 0.250 0.250 (multiplicity 4)

- crystal system = cubic
- magnetization (Bohr magnetons per cell) = 4.2
- energy of formation from the pure elements (eV per atom) = -0.035

***

No. 16
## Al2OsRh (PBE)

Data for crystalline Al2OsRh at its relaxed geometry.

abc: 2.899 4.685 8.716
angles: 90.00 90.00 90.00
Space group Cmm2 (No. 35)
Symmetry-distinct sites (fractional):
Al 0.000 0.000 0.000 (multiplicity 2)
Al 0.000 0.500 0.270 (multiplicity 2)
Os 0.000 0.000 0.505 (multiplicity 2)
Rh 0.000 0.500 0.774 (multiplicity 2)

- crystal system = orthorhombic
- magnetization (Bohr magnetons per cell) = 0.0
- energy of formation from the pure elements (eV per atom) = -0.008

***

No. 17
## Al2OsRh (PBE)

Data for crystalline Al2OsRh at its relaxed geometry.

abc: 8.244 2.853 4.959
angles: 90.00 101.43 90.00
Space group C2/m (No. 12)
Symmetry-distinct sites (fractional):
Al 0.249 0.000 0.245 (multiplicity 4)
Os 0.000 0.500 0.000 (multiplicity 2)
Rh 0.000 0.000 0.500 (multiplicity 2)

- crystal system = monoclinic
- magnetization (Bohr magnetons per cell) = 0.0
- energy of formation from the pure elements (eV per atom) = -0.425

***

No. 18
## Al2OsRh (PBE)

Data for crystalline Al2OsRh at its relaxed geometry.

abc: 4.381 2.848 4.969
angles: 90.00 112.90 90.00
Space group P2/m (No. 10)
Symmetry-distinct sites (fractional):
Al 0.000 0.000 0.000 (multiplicity 1)
Al 0.000 0.500 0.500 (multiplicity 1)
Os 0.500 0.000 0.500 (multiplicity 1)
Rh 0.500 0.500 0.000 (multiplicity 1)

- crystal system = monoclinic
- magnetization (Bohr magnetons per cell) = 0.0
- energy of formation from the pure elements (eV per atom) = -0.426

***

No. 19
## AlOs2Rh (PBE)

Data for crystalline AlOs2Rh at its relaxed geometry.

abc: 8.938 2.760 4.700
angles: 90.00 99.57 90.00
Space group Cm (No. 8)
Symmetry-distinct sites (fractional):
Al 0.000 0.000 0.000 (multiplicity 2)
Os 0.000 0.500 0.496 (multiplicity 2)
Os 0.256 0.500 0.305 (multiplicity 2)
Rh 0.251 0.000 0.806 (multiplicity 2)

- crystal system = monoclinic
- magnetization (Bohr magnetons per cell) = 0.0
- energy of formation from the pure elements (eV per atom) = -0.164

***

No. 20
## Al2OsRh2 (PBE)

Data for crystalline Al2OsRh2 at its relaxed geometry.

abc: 7.076 7.076 2.800
angles: 90.00 90.00 90.00
Space group P4/mbm (No. 127)
Symmetry-distinct sites (fractional):
Al 0.139 0.361 0.000 (multiplicity 4)
Os 0.000 0.000 0.000 (multiplicity 2)
Rh 0.160 0.660 0.500 (multiplicity 4)

- crystal system = tetragonal
- magnetization (Bohr magnetons per cell) = 0.0
- energy of formation from the pure elements (eV per atom) = -0.447

***

No. 21
## AlOsRh2 (PBE)

Data for crystalline AlOsRh2 at its relaxed geometry.

abc: 3.782 3.782 17.435
angles: 90.00 90.00 90.00
Space group I-42d (No. 122)
Symmetry-distinct sites (fractional):
Al 0.000 0.000 0.000 (multiplicity 4)
Os 0.000 0.000 0.500 (multiplicity 4)
Rh 0.250 0.250 0.125 (multiplicity 8)

- crystal system = tetragonal
- magnetization (Bohr magnetons per cell) = 0.0
- energy of formation from the pure elements (eV per atom) = 0.249

***

No. 22
## AlOsRh2 (PBE)

Data for crystalline AlOsRh2 at its relaxed geometry.

abc: 3.859 3.859 7.578
angles: 90.00 90.00 90.00
Space group I-4m2 (No. 119)
Symmetry-distinct sites (fractional):
Al 0.000 0.000 0.000 (multiplicity 2)
Os 0.000 0.500 0.750 (multiplicity 2)
Rh 0.000 0.000 0.500 (multiplicity 2)
Rh 0.000 0.500 0.250 (multiplicity 2)

- crystal system = tetragonal
- magnetization (Bohr magnetons per cell) = 0.0
- energy of formation from the pure elements (eV per atom) = -0.263

***

No. 23
## AlOsRh2 (PBE)

Data for crystalline AlOsRh2 at its relaxed geometry.

abc: 2.765 3.787 5.395
angles: 90.00 90.00 90.00
Space group Pmmm (No. 47)
Symmetry-distinct sites (fractional):
Al 0.000 0.000 0.000 (multiplicity 1)
Os 0.000 0.000 0.500 (multiplicity 1)
Rh 0.500 0.500 0.252 (multiplicity 2)

- crystal system = orthorhombic
- magnetization (Bohr magnetons per cell) = 0.0
- energy of formation from the pure elements (eV per atom) = -0.309

***

No. 24
## AlOs2Rh (PBE)

Data for crystalline AlOs2Rh at its relaxed geometry.

abc: 9.068 2.763 4.633
angles: 90.00 101.42 90.00
Space group C2/m (No. 12)
Symmetry-distinct sites (fractional):
Al 0.000 0.000 0.000 (multiplicity 2)
Os 0.248 0.500 0.246 (multiplicity 4)
Rh 0.000 0.500 0.500 (multiplicity 2)

- crystal system = monoclinic
- magnetization (Bohr magnetons per cell) = 0.0
- energy of formation from the pure elements (eV per atom) = -0.129

***

No. 25
## Al2OsRh (PBE)

Data for crystalline Al2OsRh at its relaxed geometry.

abc: 2.772 3.856 5.328
angles: 90.00 90.00 90.00
Space group Pmm2 (No. 25)
Symmetry-distinct sites (fractional):
Al 0.000 0.000 0.000 (multiplicity 1)
Al 0.500 0.500 0.293 (multiplicity 1)
Os 0.000 0.000 0.493 (multiplicity 1)
Rh 0.500 0.500 0.804 (multiplicity 1)

- crystal system = orthorhombic
- magnetization (Bohr magnetons per cell) = 0.0
- energy of formation from the pure elements (eV per atom) = -0.434

***

No. 26
## Al4OsRh2 (PBE)

Data for crystalline Al4OsRh2 at its relaxed geometry.

abc: 5.850 8.477 4.253
angles: 90.00 90.00 90.00
Space group Cmmm (No. 65)
Symmetry-distinct sites (fractional):
Al 0.235 0.000 0.000 (multiplicity 4)
Al 0.250 0.250 0.500 (multiplicity 4)
Os 0.000 0.500 0.500 (multiplicity 2)
Rh 0.000 0.255 0.000 (multiplicity 4)

- crystal system = orthorhombic
- magnetization (Bohr magnetons per cell) = 0.0
- energy of formation from the pure elements (eV per atom) = -0.712

***

No. 27
## AlOs2Rh (PBE)

Data for crystalline AlOs2Rh at its relaxed geometry.

abc: 3.895 3.895 7.479
angles: 90.00 90.00 90.00
Space group I-4m2 (No. 119)
Symmetry-distinct sites (fractional):
Al 0.000 0.000 0.000 (multiplicity 2)
Os 0.000 0.000 0.500 (multiplicity 2)
Os 0.000 0.500 0.750 (multiplicity 2)
Rh 0.000 0.500 0.250 (multiplicity 2)

- crystal system = tetragonal
- magnetization (Bohr magnetons per cell) = 0.0
- energy of formation from the pure elements (eV per atom) = -0.131

***

No. 28
## AlOsRh4 (PBE)

Data for crystalline AlOsRh4 at its relaxed geometry.

abc: 7.152 7.152 7.152
angles: 90.00 90.00 90.00
Space group F-43m (No. 216)
Symmetry-distinct sites (fractional):
Al 0.000 0.000 0.000 (multiplicity 4)
Os 0.250 0.250 0.750 (multiplicity 4)
Rh 0.125 0.125 0.375 (multiplicity 16)

- crystal system = cubic
- magnetization (Bohr magnetons per cell) = 8.6
- energy of formation from the pure elements (eV per atom) = 0.362